1.
Bi3PbBr at its PBEsol-relaxed geometry, computed with SCAN.

Density ... 8.49 g/cm3
Raw formation energy ... 0.77 eV/atom
Raw total energy ... -65.42 eV/atom
Calculated volume ... 35.75 A^3/atom
Crystal system ... cubic

abc: 5.6330 5.6330 5.6330
angles: 90.00 90.00 90.00
Positions (direct):
Pb (0.5000, 0.5000, 0.5000)
Br (0.0000, 0.0000, 0.0000)
Bi (0.0000, 0.5000, 0.0000)
Bi (0.5000, 0.0000, 0.0000)
Bi (0.0000, 0.0000, 0.5000)

***

2.
BiPbSeBr2 at its PBEsol-relaxed geometry, computed with SCAN.

Density ... 6.34 g/cm3
Raw formation energy ... 0.10 eV/atom
Raw total energy ... -42.57 eV/atom
Calculated volume ... 34.30 A^3/atom
Crystal system ... tetragonal

abc: 5.5482 5.5482 5.5708
angles: 90.00 90.00 90.00
Site moments in Bohr magnetons follow the coordinates.
Positions (direct):
Pb (0.0000, 0.0000, 0.0000)  0.00
Se (0.0000, 0.0000, 0.5000)  -0.11
Br (0.5000, 0.0000, 0.0000)  0.04
Br (0.0000, 0.5000, 0.0000)  0.04
Bi (0.5000, 0.5000, 0.5000)  0.93

***

3.
Zn2BiPbBr at its PBEsol-relaxed geometry, computed with SCAN.

Density ... 7.22 g/cm3
Raw formation energy ... 0.55 eV/atom
Raw total energy ... -39.62 eV/atom
Calculated volume ... 28.84 A^3/atom
Crystal system ... tetragonal

abc: 5.0154 5.0154 5.7323
angles: 90.00 90.00 90.00
Positions (direct):
Bi (0.5000, 0.5000, 0.5000)
Zn (0.0000, 0.5000, 0.0000)
Br (0.0000, 0.0000, 0.0000)
Zn (0.5000, 0.0000, 0.0000)
Pb (0.0000, 0.0000, 0.5000)

***

4.
BiPt2Br at its PBEsol-relaxed geometry, computed with SCAN.

Density ... 13.87 g/cm3
Raw formation energy ... 0.35 eV/atom
Raw total energy ... -59.26 eV/atom
Calculated volume ... 20.32 A^3/atom
Crystal system ... tetragonal

abc: 6.0209 6.0209 6.0209
angles: 121.31 103.89 103.89
Positions (direct):
Pt (0.4950, 0.8750, 0.8700)
Br (0.0000, 0.5000, 0.5000)
Pt (0.9950, 0.6200, 0.1250)
Bi (0.0000, 0.0000, 0.0000)
Pt (0.0050, 0.1300, 0.6250)
Bi (0.5000, 0.7500, 0.2500)
Pt (0.5050, 0.3750, 0.3800)
Br (0.5000, 0.2500, 0.7500)